## HfMgScFe (PBE-GGA)

Data for a relaxed HfMgScFe crystal.

## Properties
**Calculated formation energy**: -0.104 eV/atom

Cell: 3.074 3.074 8.253 Å, 90.00 90.00 90.00°
Element x y z (fractional)
Hf 0.500 0.500 0.759
Mg 0.000 0.000 0.067
Sc 0.500 0.500 0.381
Fe 0.000 0.000 0.578

***

## HfMgFe2Si (PBE-GGA)

Data for a relaxed HfMgFe2Si crystal.

## Properties
**Energy above the lowest structure with this stoichiometry**: 0.0 meV per atom

Cell: 4.628 5.036 4.628 Å, 90.00 90.00 90.00°
Element x y z (fractional)
Mg 0.500 0.500 0.500
Si 0.000 0.500 0.000
Hf 0.000 0.000 0.000
Fe 0.000 0.000 0.500
Fe 0.500 0.000 0.000

***

## HfMgTaFe2 (PBE-GGA)

Data for a relaxed HfMgTaFe2 crystal.

## Properties
**Calculated formation energy**: 1.724 eV/atom

Cell: 4.377 4.908 4.377 Å, 90.00 90.00 90.00°
Element x y z (fractional)
Mg 0.000 0.500 0.000
Hf 0.000 0.000 0.000
Fe 0.000 0.000 0.500
Fe 0.500 0.000 0.000
Ta 0.500 0.500 0.500

***

## HfMgFeW2 (PBE-GGA)

Data for a relaxed HfMgFeW2 crystal.

## Properties
**Calculated formation energy**: 1.784 eV/atom

Cell: 4.695 4.191 4.695 Å, 90.00 90.00 90.00°
Element x y z (fractional)
Mg 0.000 0.000 0.000
Hf 0.500 0.500 0.500
Fe 0.000 0.500 0.000
W 0.000 0.000 0.500
W 0.500 0.000 0.000

***

## HfMg2ZnFe (PBE-GGA)

Data for a relaxed HfMg2ZnFe crystal.

## Properties
**Calculated formation energy**: 0.776 eV/atom

Cell: 4.577 4.586 4.577 Å, 90.00 90.00 90.00°
Element x y z (fractional)
Mg 0.000 0.000 0.500
Mg 0.500 0.000 0.000
Zn 0.000 0.000 0.000
Hf 0.500 0.500 0.500
Fe 0.000 0.500 0.000

***

## HfMn2Fe (PBE-GGA)

Data for a relaxed HfMn2Fe crystal.

## Properties
**Calculated formation energy**: 1.274 eV/atom
**Energy above the lowest structure with this stoichiometry**: 1145.4 meV per atom

Cell: 8.961 8.946 4.763 Å, 90.00 90.00 89.89°
Element x y z (fractional)
Hf 0.000 0.250 0.624
Hf 0.500 0.750 0.125
Hf 0.000 0.750 0.376
Hf 0.500 0.250 0.875
Mn 0.000 0.000 0.000
Mn 0.500 0.500 0.500
Mn 0.250 0.750 0.751
Mn 0.750 0.250 0.249
Mn 0.750 0.750 0.751
Mn 0.250 0.250 0.249
Mn 0.000 0.500 0.000
Mn 0.500 0.000 0.500
Fe 0.500 0.750 0.625
Fe 0.500 0.250 0.375
Fe 0.000 0.250 0.124
Fe 0.000 0.750 0.876

***

## Hf4Mn3Fe (PBE-GGA)

Data for a relaxed Hf4Mn3Fe crystal.

## Properties
**Calculated formation energy**: -0.182 eV/atom

Cell: 4.462 4.462 7.056 Å, 108.40 108.43 90.00°
Element x y z (fractional)
Mn 0.000 0.500 0.000
Mn 0.752 0.252 0.503
Mn 0.248 0.748 0.497
Hf 0.376 0.376 0.751
Hf 0.624 0.624 0.249
Hf 0.124 0.124 0.249
Hf 0.876 0.876 0.751
Fe 0.500 0.000 0.000

***

## HfMn2Fe9 (PBE-GGA)

Data for a relaxed HfMn2Fe9 crystal.

## Properties
**Calculated formation energy**: 0.041 eV/atom

Cell: 4.736 4.736 8.241 Å, 73.30 73.30 60.00°
Element x y z (fractional)
Hf 0.000 0.000 0.000
Mn 0.854 0.854 0.439
Mn 0.146 0.146 0.561
Fe 0.666 0.666 0.001
Fe 0.334 0.334 0.999
Fe 0.500 0.500 0.500
Fe 0.411 0.411 0.259
Fe 0.919 0.411 0.259
Fe 0.411 0.919 0.259
Fe 0.589 0.589 0.741
Fe 0.589 0.081 0.741
Fe 0.081 0.589 0.741

***

## Hf3Mn2Fe7 (PBE-GGA)

Data for a relaxed Hf3Mn2Fe7 crystal.

## Properties
**Calculated formation energy**: -0.206 eV/atom

Cell: 4.888 4.888 8.368 Å, 73.02 73.02 60.00°
Element x y z (fractional)
Hf 0.000 0.000 0.000
Hf 0.859 0.859 0.423
Hf 0.141 0.141 0.577
Mn 0.667 0.667 0.000
Mn 0.333 0.333 0.000
Fe 0.500 0.500 0.500
Fe 0.920 0.415 0.250
Fe 0.415 0.920 0.250
Fe 0.415 0.415 0.250
Fe 0.080 0.585 0.750
Fe 0.585 0.585 0.750
Fe 0.585 0.080 0.750

***

## HfMn2Fe (PBE-GGA)

Data for a relaxed HfMn2Fe crystal.

## Properties
**Calculated formation energy**: 0.129 eV/atom
**Energy above the lowest structure with this stoichiometry**: 0.0 meV per atom

Cell: 4.228 4.228 4.228 Å, 60.00 60.00 60.00°
Element x y z (fractional)
Mn 0.250 0.250 0.250
Mn 0.750 0.750 0.750
Hf 0.500 0.500 0.500
Fe 0.000 0.000 0.000

***

## HfMn10Fe2 (PBE-GGA)

Data for a relaxed HfMn10Fe2 crystal.

## Properties
**Calculated formation energy**: -0.032 eV/atom

Cell: 6.222 6.222 7.943 Å, 90.00 90.00 97.99°
Element x y z (fractional)
Hf 0.874 0.126 0.750
Hf 0.126 0.874 0.250
Mn 0.387 0.134 0.750
Mn 0.613 0.866 0.250
Mn 0.866 0.613 0.750
Mn 0.134 0.387 0.250
Mn 0.522 0.749 0.750
Mn 0.478 0.251 0.250
Mn 0.251 0.478 0.750
Mn 0.749 0.522 0.250
Mn 0.837 0.163 0.395
Mn 0.163 0.837 0.895
Mn 0.837 0.163 0.105
Mn 0.163 0.837 0.605
Mn 0.605 0.395 0.932
Mn 0.395 0.605 0.432
Mn 0.605 0.395 0.568
Mn 0.395 0.605 0.068
Mn 0.784 0.784 0.000
Mn 0.216 0.216 0.500
Mn 0.216 0.216 0.000
Mn 0.784 0.784 0.500
Fe 0.500 0.000 0.000
Fe 0.500 0.000 0.500
Fe 0.000 0.500 0.500
Fe 0.000 0.500 0.000

***

## Hf3MnFe8 (PBE-GGA)

Data for a relaxed Hf3MnFe8 crystal.

## Properties
**Calculated formation energy**: -0.264 eV/atom

Cell: 4.885 4.885 8.451 Å, 73.20 73.20 60.00°
Element x y z (fractional)
Hf 0.376 0.376 0.873
Hf 0.995 0.995 0.015
Hf 0.504 0.504 0.488
Mn 0.874 0.874 0.379
Fe 0.939 0.437 0.188
Fe 0.439 0.937 0.686
Fe 0.437 0.437 0.188
Fe 0.937 0.937 0.686
Fe 0.188 0.188 0.437
Fe 0.688 0.688 0.937
Fe 0.437 0.939 0.188
Fe 0.937 0.439 0.686

***

## Hf3Mn7Fe2 (PBE-GGA)

Data for a relaxed Hf3Mn7Fe2 crystal.

## Properties
**Calculated formation energy**: -0.170 eV/atom

Cell: 4.805 4.805 8.557 Å, 73.70 73.70 60.00°
Element x y z (fractional)
Hf 0.000 0.000 0.000
Hf 0.859 0.859 0.423
Hf 0.141 0.141 0.577
Mn 0.500 0.500 0.500
Mn 0.923 0.415 0.248
Mn 0.415 0.923 0.248
Mn 0.415 0.415 0.248
Mn 0.077 0.585 0.752
Mn 0.585 0.585 0.752
Mn 0.585 0.077 0.752
Fe 0.666 0.666 0.003
Fe 0.334 0.334 0.997

***

## Hf4MnFe2 (PBE-GGA)

Data for a relaxed Hf4MnFe2 crystal.

## Properties
**Calculated formation energy**: -0.087 eV/atom

Cell: 5.397 5.397 5.397 Å, 109.79 109.31 109.31°
Element x y z (fractional)
Hf 0.500 0.000 0.000
Hf 0.500 0.500 0.500
Hf 0.000 0.000 0.500
Hf 0.000 0.500 0.000
Mn 0.000 0.000 0.000
Fe 0.500 0.500 0.000
Fe 0.500 0.000 0.500

***

## Hf5MnFe4 (PBE-GGA)

Data for a relaxed Hf5MnFe4 crystal.

## Properties
**Calculated formation energy**: -0.296 eV/atom

Cell: 3.134 3.134 15.716 Å, 90.00 90.00 90.00°
Element x y z (fractional)
Hf 0.500 0.500 0.099
Hf 0.500 0.500 0.300
Hf 0.500 0.500 0.500
Hf 0.500 0.500 0.700
Hf 0.500 0.500 0.901
Mn 0.000 0.000 0.000
Fe 0.000 0.000 0.203
Fe 0.000 0.000 0.401
Fe 0.000 0.000 0.599
Fe 0.000 0.000 0.797

***

## Hf6MnFe5 (PBE-GGA)

Data for a relaxed Hf6MnFe5 crystal.

## Properties
**Calculated formation energy**: -0.305 eV/atom

Cell: 4.437 6.270 7.679 Å, 114.09 106.79 90.00°
Element x y z (fractional)
Mn 0.000 0.000 0.000
Hf 0.834 0.584 0.668
Hf 0.834 0.083 0.668
Hf 0.500 0.751 0.000
Hf 0.500 0.249 0.000
Hf 0.166 0.917 0.332
Hf 0.166 0.416 0.332
Fe 0.667 0.167 0.335
Fe 0.333 0.333 0.666
Fe 0.000 0.500 0.000
Fe 0.667 0.667 0.334
Fe 0.333 0.833 0.665

***

## Hf3MnFe2 (PBE-GGA)

Data for a relaxed Hf3MnFe2 crystal.

## Properties
**Calculated formation energy**: -0.269 eV/atom

Cell: 3.138 3.138 9.444 Å, 90.00 90.00 90.00°
Element x y z (fractional)
Hf 0.000 0.000 0.000
Hf 0.000 0.000 0.667
Hf 0.000 0.000 0.333
Mn 0.500 0.500 0.500
Fe 0.500 0.500 0.836
Fe 0.500 0.500 0.164

***

## Hf3Mn2Fe (PBE-GGA)

Data for a relaxed Hf3Mn2Fe crystal.

## Properties
**Calculated formation energy**: -0.197 eV/atom

Cell: 3.153 4.459 7.049 Å, 108.44 90.00 90.00°
Element x y z (fractional)
Hf 0.500 0.500 0.000
Hf 0.500 0.834 0.668
Hf 0.500 0.166 0.332
Mn 0.000 0.333 0.665
Mn 0.000 0.667 0.335
Fe 0.000 0.000 0.000

***

## Hf5MnFe (PBE-GGA)

Data for a relaxed Hf5MnFe crystal.

## Properties
**Calculated formation energy**: 0.127 eV/atom

Cell: 8.223 8.223 5.225 Å, 61.05 61.05 78.79°
Element x y z (fractional)
Hf 0.689 0.935 0.409
Hf 0.864 0.149 0.573
Hf 0.435 0.189 0.909
Hf 0.100 0.400 0.750
Hf 0.351 0.636 0.927
Hf 0.649 0.364 0.073
Hf 0.900 0.600 0.250
Hf 0.565 0.811 0.091
Hf 0.136 0.851 0.427
Hf 0.311 0.065 0.591
Mn 0.000 0.000 0.000
Mn 0.500 0.500 0.500
Fe 0.840 0.660 0.750
Fe 0.160 0.340 0.250

***

## Hf4MnFe3 (PBE-GGA)

Data for a relaxed Hf4MnFe3 crystal.

## Properties
**Calculated formation energy**: -0.288 eV/atom

Cell: 3.136 3.136 12.567 Å, 90.00 90.00 90.00°
Element x y z (fractional)
Mn 0.500 0.500 0.000
Hf 0.000 0.000 0.876
Hf 0.000 0.000 0.124
Hf 0.000 0.000 0.375
Hf 0.000 0.000 0.625
Fe 0.500 0.500 0.253
Fe 0.500 0.500 0.500
Fe 0.500 0.500 0.747

***

Short version: calculated volume = 19.5 21.6 18.8 18.5 19.2 23.9 15.7 12.6 13.6 13.4 11.7 13.7 13.5 17.3 15.4 15.4 15.5 15.7 19.3 15.4 Å³/atom, in the order given.
Short version: DOS(E_F) = 3.1 7.6 8.6 6.9 5.9 18.3 8.3 9.7 12.0 6.1 33.2 7.5 12.7 7.4 2.8 4.5 3.1 6.2 12.8 2.6 states/eV/cell, in the order given.